No. 1
# NbAsWSe2

A PBEsol-optimized structure of NbAsWSe2 (SCAN, Alexandria via LeMat-Bulk).

Output
Uncorrected energy   -157.649 eV for the cell shown
Size of the total moment   4.033 μB per cell
DOS(E_F)   2.4 states/eV/f.u.

The structure in extended XYZ format:
```
5
Lattice="4.889 0.000 0.000 0.000 4.889 0.000 0.000 0.000 4.983" Properties=species:S:1:pos:R:3 pbc="T T T"
Nb 0.000 0.000 0.000
Se 2.445 0.000 0.000
Se 0.000 2.445 0.000
As 0.000 0.000 2.492
W 2.445 2.445 2.492
```


No. 2
# YNbAsSe2

A PBEsol-optimized structure of YNbAsSe2 (SCAN, Alexandria via LeMat-Bulk).

Output
Distance to the lowest polymorph of the same formula   0.000 eV per atom
Uncorrected energy   -124.092 eV for the cell shown
Size of the total moment   0.000 μB per cell
DOS(E_F)   2.4 states/eV/f.u.

The structure in extended XYZ format:
```
5
Lattice="-2.870 -1.740 3.603 3.808 -2.550 1.801 1.252 3.908 2.884" Properties=species:S:1:pos:R:3 pbc="T T T"
Nb 0.000 0.000 0.000
Se -1.435 -0.870 1.802
As 0.626 1.954 1.442
Y 1.095 -0.191 4.144
Se 1.904 -1.275 0.901
```


No. 3
# YNbAsSe2

A PBEsol-optimized structure of YNbAsSe2 (SCAN, Alexandria via LeMat-Bulk).

Output
Distance to the lowest polymorph of the same formula   0.828 eV per atom
Uncorrected energy   -119.951 eV for the cell shown
Size of the total moment   1.746 μB per cell
DOS(E_F)   3.8 states/eV/f.u.

The structure in extended XYZ format:
```
5
Lattice="5.219 0.000 0.000 0.000 5.219 0.000 0.000 0.000 5.230" Properties=species:S:1:pos:R:3 pbc="T T T"
Y 0.000 0.000 0.000
Se 2.610 0.000 0.000
Nb 2.610 2.610 2.615
As 0.000 0.000 2.615
Se 0.000 2.610 0.000
```


What did the second record say?
# YNbAsSe2

A PBEsol-optimized structure of YNbAsSe2 (SCAN, Alexandria via LeMat-Bulk).

Output
Distance to the lowest polymorph of the same formula   0.000 eV per atom
Uncorrected energy   -124.092 eV for the cell shown
Size of the total moment   0.000 μB per cell
DOS(E_F)   2.4 states/eV/f.u.

The structure in extended XYZ format:
```
5
Lattice="-2.870 -1.740 3.603 3.808 -2.550 1.801 1.252 3.908 2.884" Properties=species:S:1:pos:R:3 pbc="T T T"
Nb 0.000 0.000 0.000
Se -1.435 -0.870 1.802
As 0.626 1.954 1.442
Y 1.095 -0.191 4.144
Se 1.904 -1.275 0.901
```


Question: Which of these has the highest uncorrected energy?
Answer: number 3


What did the second record say?
# YNbAsSe2

A PBEsol-optimized structure of YNbAsSe2 (SCAN, Alexandria via LeMat-Bulk).

Output
Distance to the lowest polymorph of the same formula   0.000 eV per atom
Uncorrected energy   -124.092 eV for the cell shown
Size of the total moment   0.000 μB per cell
DOS(E_F)   2.4 states/eV/f.u.

The structure in extended XYZ format:
```
5
Lattice="-2.870 -1.740 3.603 3.808 -2.550 1.801 1.252 3.908 2.884" Properties=species:S:1:pos:R:3 pbc="T T T"
Nb 0.000 0.000 0.000
Se -1.435 -0.870 1.802
As 0.626 1.954 1.442
Y 1.095 -0.191 4.144
Se 1.904 -1.275 0.901
```